## a
# Cs3TlP (GGA-PBE, optimized geometry)
# - DOS(E_F) (states/eV per atom) = 0.526
# - crystal system = monoclinic
# - spin magnetization (μB/atom) = 0.000
data_Cs3TlP
_cell_length_a 8.780
_cell_length_b 6.378
_cell_length_c 17.020
_cell_angle_alpha 90.00
_cell_angle_beta 95.50
_cell_angle_gamma 90.00
_space_group_name_H-M_alt 'P 1 21/c 1'
_space_group_IT_number 14
_space_group_name_Hall '-P 2ybc'
loop_
_atom_site_label
_atom_site_type_symbol
_atom_site_fract_x
_atom_site_fract_y
_atom_site_fract_z
Cs1 Cs 0.053 0.231 0.174
Cs2 Cs 0.356 0.746 0.489
Cs3 Cs 0.370 0.731 0.250
Tl1 Tl 0.063 0.235 0.445
P1 P 0.300 0.235 0.357

---

## b
# Cs3TlP (GGA-PBE, optimized geometry)
# - DOS(E_F) (states/eV per atom) = 1.390
# - crystal system = cubic
# - spin magnetization (μB/atom) = 0.467
data_Cs3TlP
_cell_length_a 6.910
_cell_length_b 6.910
_cell_length_c 6.910
_cell_angle_alpha 90.00
_cell_angle_beta 90.00
_cell_angle_gamma 90.00
_space_group_name_H-M_alt 'P m -3 m'
_space_group_IT_number 221
_space_group_name_Hall '-P 4 2 3'
loop_
_atom_site_label
_atom_site_type_symbol
_atom_site_fract_x
_atom_site_fract_y
_atom_site_fract_z
Cs1 Cs 0.000 0.000 0.500
Tl1 Tl 0.500 0.500 0.500
P1 P 0.000 0.000 0.000

---

Verdict on stability: b comes out at the bottom.

---

## a
# CsTlP (GGA-PBE, optimized geometry)
# - DOS(E_F) (states/eV per atom) = 0.202
# - crystal system = orthorhombic
# - spin magnetization (μB/atom) = 0.000
data_CsTlP
_cell_length_a 11.468
_cell_length_b 10.501
_cell_length_c 7.904
_cell_angle_alpha 90.00
_cell_angle_beta 90.00
_cell_angle_gamma 90.00
_space_group_name_H-M_alt 'C m c e'
_space_group_IT_number 64
_space_group_name_Hall '-C 2ac 2'
loop_
_atom_site_label
_atom_site_type_symbol
_atom_site_fract_x
_atom_site_fract_y
_atom_site_fract_z
Cs1 Cs 0.250 0.093 0.250
Tl1 Tl 0.000 0.151 0.613
P1 P 0.000 0.100 0.967

---

## b
# CsTlP (GGA-PBE, optimized geometry)
# - DOS(E_F) (states/eV per atom) = 0.542
# - crystal system = trigonal
# - spin magnetization (μB/atom) = 0.000
data_CsTlP
_cell_length_a 4.8536
_cell_length_b 4.8536
_cell_length_c 5.6892
_cell_angle_alpha 90.00
_cell_angle_beta 90.00
_cell_angle_gamma 120.00
_space_group_name_H-M_alt 'P 3 m 1'
_space_group_IT_number 156
_space_group_name_Hall 'P 3 -2"'
loop_
_atom_site_label
_atom_site_type_symbol
_atom_site_fract_x
_atom_site_fract_y
_atom_site_fract_z
Cs1 Cs 0.0000 0.0000 0.0000
Tl1 Tl 0.6667 0.3333 0.4980
P1 P 0.3333 0.6667 0.5022

---

Verdict on stability: b comes out at the bottom.

---

## a
# CsVP3 (GGA-PBE, optimized geometry)
# - DOS(E_F) (states/eV per atom) = 1.777
# - crystal system = cubic
# - spin magnetization (μB/atom) = 0.362
data_CsVP3
_cell_length_a 5.339
_cell_length_b 5.339
_cell_length_c 5.339
_cell_angle_alpha 90.00
_cell_angle_beta 90.00
_cell_angle_gamma 90.00
_space_group_name_H-M_alt 'P m -3 m'
_space_group_IT_number 221
_space_group_name_Hall '-P 4 2 3'
loop_
_atom_site_label
_atom_site_type_symbol
_atom_site_fract_x
_atom_site_fract_y
_atom_site_fract_z
Cs1 Cs 0.000 0.000 0.000
V1 V 0.500 0.500 0.500
P1 P 0.000 0.000 0.500

---

## b
# CsVP3 (GGA-PBE, optimized geometry)
# - DOS(E_F) (states/eV per atom) = 1.174
# - crystal system = cubic
# - spin magnetization (μB/atom) = 0.000
data_CsVP3
_cell_length_a 4.759
_cell_length_b 4.759
_cell_length_c 4.759
_cell_angle_alpha 90.00
_cell_angle_beta 90.00
_cell_angle_gamma 90.00
_space_group_name_H-M_alt 'P m -3 m'
_space_group_IT_number 221
_space_group_name_Hall '-P 4 2 3'
loop_
_atom_site_label
_atom_site_type_symbol
_atom_site_fract_x
_atom_site_fract_y
_atom_site_fract_z
Cs1 Cs 0.000 0.000 0.000
V1 V 0.500 0.500 0.500
P1 P 0.000 0.500 0.500

---

Verdict on stability: a comes out at the bottom.

---

## a
# CsY3P (GGA-PBE, optimized geometry)
# - DOS(E_F) (states/eV per atom) = 0.978
# - crystal system = cubic
# - spin magnetization (μB/atom) = 0.000
data_CsY3P
_cell_length_a 5.527
_cell_length_b 5.527
_cell_length_c 5.527
_cell_angle_alpha 90.00
_cell_angle_beta 90.00
_cell_angle_gamma 90.00
_space_group_name_H-M_alt 'P m -3 m'
_space_group_IT_number 221
_space_group_name_Hall '-P 4 2 3'
loop_
_atom_site_label
_atom_site_type_symbol
_atom_site_fract_x
_atom_site_fract_y
_atom_site_fract_z
Cs1 Cs 0.000 0.000 0.000
Y1 Y 0.000 0.000 0.500
P1 P 0.500 0.500 0.500

---

## b
# CsY3P (GGA-PBE, optimized geometry)
# - DOS(E_F) (states/eV per atom) = 1.737
# - crystal system = cubic
# - spin magnetization (μB/atom) = 0.000
data_CsY3P
_cell_length_a 5.561
_cell_length_b 5.561
_cell_length_c 5.561
_cell_angle_alpha 90.00
_cell_angle_beta 90.00
_cell_angle_gamma 90.00
_space_group_name_H-M_alt 'P m -3 m'
_space_group_IT_number 221
_space_group_name_Hall '-P 4 2 3'
loop_
_atom_site_label
_atom_site_type_symbol
_atom_site_fract_x
_atom_site_fract_y
_atom_site_fract_z
Cs1 Cs 0.000 0.000 0.000
Y1 Y 0.000 0.500 0.500
P1 P 0.500 0.500 0.500

---

Verdict on stability: a comes out at the bottom.